1.
5
Lattice="5.499 0.000 0.000 0.000 5.499 0.000 0.000 0.000 5.604" Properties=species:S:1:pos:R:3 comment="PBE KHg2PbAu, relaxed" formation_enthalpy_0k_ev_per_atom=-0.02 magnetic_moment_mub_per_fu=0.00 final_energy_ev_per_atom=-1.755 pbc="T T T"
K 0.000 0.000 0.000
Hg 0.000 2.749 2.802
Hg 2.749 0.000 2.802
Pb 2.749 2.749 0.000
Au 2.749 2.749 2.802

=====

2.
32
Lattice="8.471 0.000 0.000 0.000 15.172 0.000 0.000 0.000 5.855" Properties=species:S:1:pos:R:3 comment="PBE Tb3Sn3Rh2, relaxed" formation_enthalpy_0k_ev_per_atom=-0.81 magnetic_moment_mub_per_fu=0.00 final_energy_ev_per_atom=-5.881 pbc="T T T"
Tb 0.254 1.704 0.669
Tb 0.254 5.882 0.669
Tb 1.442 3.793 3.721
Tb 2.794 11.379 0.793
Tb 3.981 9.290 3.596
Tb 3.981 13.468 3.596
Tb 4.490 1.704 2.258
Tb 4.490 5.882 2.258
Tb 5.677 3.793 5.061
Tb 7.029 11.379 2.134
Tb 8.216 9.290 5.185
Tb 8.216 13.468 5.185
Sn 1.555 11.379 3.667
Sn 1.633 0.515 3.578
Sn 1.633 7.070 3.578
Sn 2.602 8.101 0.650
Sn 2.602 14.656 0.650
Sn 2.680 3.793 0.740
Sn 5.790 11.379 5.115
Sn 5.868 0.515 5.204
Sn 5.868 7.070 5.204
Sn 6.838 8.101 2.277
Sn 6.838 14.656 2.277
Sn 6.915 3.793 2.188
Rh 0.721 9.270 2.147
Rh 0.721 13.487 2.147
Rh 3.514 1.684 5.074
Rh 3.514 5.902 5.074
Rh 4.957 9.270 0.781
Rh 4.957 13.487 0.781
Rh 7.749 1.684 3.708
Rh 7.749 5.902 3.708

=====

3.
10
Lattice="5.581 0.000 0.000 0.000 3.597 0.000 -1.443 0.000 13.264" Properties=species:S:1:pos:R:3 comment="PBE YHo2Al2, relaxed" formation_enthalpy_0k_ev_per_atom=-0.14 magnetic_moment_mub_per_fu=0.00 final_energy_ev_per_atom=-4.766 pbc="T T T"
Y 0.683 0.899 3.121
Y 3.455 2.698 10.143
Ho 0.675 2.698 6.131
Ho 0.649 0.899 11.783
Ho 3.489 2.698 1.481
Ho 3.463 0.899 7.133
Al 0.779 2.698 0.579
Al 0.683 0.899 8.746
Al 3.455 2.698 4.518
Al 3.359 0.899 12.685

=====

4.
8
Lattice="3.171 0.000 0.000 0.000 5.881 0.000 0.000 0.000 4.606" Properties=species:S:1:pos:R:3 comment="PBE CuO2F, relaxed" e_form_raw_mev_per_atom=-661 magnetic_moment_mub_per_fu=0.00 final_energy_ev_per_atom=-4.632 pbc="T T T"
Cu 0.000 1.215 0.000
Cu 1.585 4.666 2.303
O 0.000 2.330 1.591
O 0.000 3.642 1.472
O 1.585 2.240 3.775
O 1.585 3.551 3.894
F 0.000 5.780 3.112
F 1.585 0.101 0.809

=====

5.
7
Lattice="6.380 -2.412 0.000 6.380 2.412 0.000 -0.191 0.000 5.117" Properties=species:S:1:pos:R:3 comment="PBE Pa2Sn2Mo3, relaxed" formation_enthalpy_0k_ev_per_atom=0.05 magnetic_moment_mub_per_fu=0.00 final_energy_ev_per_atom=-8.448 pbc="T T T"
Pa 1.855 0.000 1.957
Pa 10.714 0.000 3.160
Sn 5.219 0.000 1.079
Sn 7.349 0.000 4.038
Mo 0.000 0.000 0.000
Mo 2.437 0.000 4.521
Mo 10.132 0.000 0.596

=====

6.
4
Lattice="-1.894 1.937 7.776 1.894 -1.937 7.776 1.894 1.937 -7.776" Properties=species:S:1:pos:R:3 comment="PBE Tl2PtBr, relaxed" e_form_raw_mev_per_atom=-179 magnetic_moment_mub_per_fu=0.00 final_energy_ev_per_atom=-3.290 pbc="T T T"
Tl 0.000 0.000 0.000
Tl 0.000 1.937 3.106
Pt 0.000 0.000 8.284
Br 1.894 0.000 4.846

=====

7.
3
Lattice="0.000 3.374 3.374 3.374 0.000 3.374 3.374 3.374 0.000" Properties=species:S:1:pos:R:3 comment="PBE DyPaOs, relaxed" formation_enthalpy_0k_ev_per_atom=-0.03 magnetic_moment_mub_per_fu=0.16 final_energy_ev_per_atom=-8.468 pbc="T T T"
Dy 0.000 0.000 0.000
Pa 3.374 3.374 3.374
Os 1.687 1.687 1.687

=====

8.
5
Lattice="5.827 0.000 0.000 0.000 5.827 0.000 0.000 0.000 5.434" Properties=species:S:1:pos:R:3 comment="PBE CsHg2SbS, relaxed" e_form_raw_mev_per_atom=-241 magnetic_moment_mub_per_fu=0.00 final_energy_ev_per_atom=-2.182 pbc="T T T"
Cs 0.000 0.000 0.000
Hg 0.000 2.914 2.717
Hg 2.914 0.000 2.717
Sb 2.914 2.914 2.717
S 2.914 2.914 0.000

=====

9.
10
Lattice="6.281 0.000 0.000 0.000 6.281 0.000 0.000 0.000 2.812" Properties=species:S:1:pos:R:3 comment="PBE TiB2Os2, relaxed" formation_enthalpy_0k_ev_per_atom=-0.25 magnetic_moment_mub_per_fu=0.00 final_energy_ev_per_atom=-8.993 pbc="T T T"
Ti 0.000 0.000 0.000
Ti 3.141 3.141 0.000
B 0.887 2.253 0.000
B 2.253 5.394 0.000
B 4.028 0.887 0.000
B 5.394 4.028 0.000
Os 0.961 4.102 1.406
Os 2.179 0.961 1.406
Os 4.102 5.320 1.406
Os 5.320 2.179 1.406

=====

10.
5
Lattice="4.836 0.000 0.000 0.000 4.836 0.000 0.000 0.000 3.855" Properties=species:S:1:pos:R:3 comment="PBE HfTaS2N, relaxed" e_form_raw_mev_per_atom=-227 magnetic_moment_mub_per_fu=0.00 final_energy_ev_per_atom=-7.904 pbc="T T T"
Hf 0.000 0.000 0.000
Ta 2.418 2.418 1.927
S 0.000 2.418 1.927
S 2.418 0.000 1.927
N 2.418 2.418 0.000

=====

11.
5
Lattice="4.846 0.000 0.000 0.000 4.846 0.000 0.000 0.000 5.662" Properties=species:S:1:pos:R:3 comment="PBE NaHfAsBr2, relaxed" e_form_raw_mev_per_atom=392 magnetic_moment_mub_per_fu=0.00 final_energy_ev_per_atom=-3.461 pbc="T T T"
Na 0.000 0.000 0.000
Hf 2.423 2.423 2.831
As 0.000 0.000 2.831
Br 0.000 2.423 0.000
Br 2.423 0.000 0.000

=====

12.
12
Lattice="8.435 0.000 0.000 0.000 4.296 0.000 -3.486 0.000 9.099" Properties=species:S:1:pos:R:3 comment="PBE Th3RuPbSe, relaxed" e_form_raw_mev_per_atom=-586 magnetic_moment_mub_per_fu=0.00 final_energy_ev_per_atom=-7.040 pbc="T T T"
Th 0.952 1.074 1.276
Th 0.415 3.222 4.426
Th -0.407 3.222 7.963
Th 5.356 1.074 1.136
Th 4.534 1.074 4.673
Th 3.997 3.222 7.823
Ru -2.040 3.222 5.555
Ru 6.989 1.074 3.544
Pb 3.170 3.222 2.361
Pb 1.779 1.074 6.738
Se -2.401 1.074 7.333
Se 7.350 3.222 1.766